# 1
Density functional theory data (PBE) for a geometry-optimized AlPb2Cl structure.

## Properties
The total energy comes out at -13.5 eV/cell.

Cell and atoms, written as POSCAR:
```
AlPb2Cl
1.0
3.346 0.000 0.000
0.000 5.410 0.000
0.000 0.000 6.028
Pb Cl Al
2 1 1
Cartesian
1.673 2.705 2.259 Pb
0.000 0.000 5.273 Pb
1.673 2.705 5.277 Cl
0.000 0.000 2.260 Al
```



# 2
Density functional theory data (PBE) for a geometry-optimized Al2PbCl structure.

## Properties
Its polymorph energy (0 for the lowest one) is 0.064 eV/atom. The total energy comes out at -13.4 eV/cell.

Cell and atoms, written as POSCAR:
```
Al2PbCl
1.0
5.045 0.000 0.000
0.000 3.202 0.020
0.000 1.603 5.908
Cl Al Pb
1 2 1
Cartesian
0.000 2.601 3.268 Cl
2.522 0.996 0.764 Al
0.000 2.608 0.909 Al
2.522 4.205 3.972 Pb
```



# 3
Density functional theory data (PBE) for a geometry-optimized Al2PbCl structure.

## Properties
Its polymorph energy (0 for the lowest one) is 0.219 eV/atom. The total energy comes out at -12.7 eV/cell.

Cell and atoms, written as POSCAR:
```
Al2PbCl
1.0
-0.936 8.609 5.214
-3.762 7.176 6.045
-1.022 6.473 7.696
Cl Al Pb
1 2 1
Cartesian
-1.430 5.565 4.739 Cl
-5.657 22.014 18.747 Al
-2.923 11.373 9.685 Al
-4.290 16.694 14.216 Pb
```



# 4
Density functional theory data (PBE) for a geometry-optimized Al2PbCl structure.

## Properties
Its polymorph energy (0 for the lowest one) is 0.000 eV/atom. The total energy comes out at -13.6 eV/cell.

Cell and atoms, written as POSCAR:
```
Al2PbCl
1.0
3.417 -0.085 0.000
-1.678 2.978 0.000
0.000 0.000 9.836
Al Pb Cl
2 1 1
Cartesian
0.870 1.447 2.430 Al
0.000 0.000 0.367 Al
0.870 1.447 7.773 Pb
0.000 0.000 4.183 Cl
```



# 5
Density functional theory data (PBE) for a geometry-optimized Al2PbCl structure.

## Properties
Its polymorph energy (0 for the lowest one) is 0.235 eV/atom. The total energy comes out at -12.7 eV/cell.

Cell and atoms, written as POSCAR:
```
Al2PbCl
1.0
-2.991 -1.250 -0.040
2.045 -4.912 0.635
-0.325 0.598 5.668
Al Cl Pb
2 1 1
Cartesian
-0.325 0.597 5.662 Al
-0.163 0.300 2.840 Al
-0.555 -2.932 1.715 Cl
-0.717 -2.633 4.549 Pb
```



# 6
Density functional theory data (PBE) for a geometry-optimized AlPb2Cl structure.

## Properties
The total energy comes out at -13.0 eV/cell.

Cell and atoms, written as POSCAR:
```
AlPb2Cl
1.0
6.965 -0.017 0.000
4.383 5.413 0.000
-5.674 -2.698 3.006
Pb Cl Al
2 1 1
Cartesian
0.000 0.000 0.000 Pb
2.192 2.706 1.503 Pb
3.482 -0.009 1.503 Cl
5.674 2.698 0.000 Al
```



# 7
Density functional theory data (PBE) for a geometry-optimized Al2PbCl structure.

## Properties
Its polymorph energy (0 for the lowest one) is 0.121 eV/atom. The total energy comes out at -13.1 eV/cell.

Cell and atoms, written as POSCAR:
```
Al2PbCl
1.0
5.971 0.003 -0.010
2.014 5.622 0.010
-2.904 -4.357 2.870
Al Pb Cl
2 1 1
Cartesian
7.695 5.420 0.000 Al
3.481 -0.805 1.430 Al
1.438 1.959 1.440 Pb
4.445 3.131 0.000 Cl
```



# 8
Density functional theory data (PBE) for a geometry-optimized AlPb2Cl6 structure.

## Properties
The total energy comes out at -64.2 eV/cell.

Cell and atoms, written as POSCAR:
```
AlPb2Cl6
1.0
6.661 0.000 0.000
0.000 6.661 0.000
0.000 0.000 12.010
Cl Pb Al
12 4 2
Cartesian
1.210 5.451 10.301 Cl
5.451 1.210 10.301 Cl
4.541 4.541 4.296 Cl
1.701 4.960 6.005 Cl
4.541 4.541 7.715 Cl
5.031 5.031 0.000 Cl
2.120 2.120 4.296 Cl
4.960 1.701 6.005 Cl
1.630 1.630 0.000 Cl
5.451 1.210 1.710 Cl
2.120 2.120 7.715 Cl
1.210 5.451 1.710 Cl
3.330 3.330 1.741 Pb
0.000 0.000 4.264 Pb
3.330 3.330 10.270 Pb
0.000 0.000 7.746 Pb
0.000 0.000 0.000 Al
3.330 3.330 6.005 Al
```



# 9
Density functional theory data (PBE) for a geometry-optimized Al2PtPbCl structure.

## Properties
The total energy comes out at -19.4 eV/cell.

Cell and atoms, written as POSCAR:
```
Al2PtPbCl
1.0
-3.795 -2.614 -0.678
1.454 -0.476 -6.303
2.491 -3.840 0.864
Pt Cl Pb Al
1 1 1 2
Cartesian
0.000 0.000 0.000 Pt
0.727 -0.238 -3.152 Cl
0.075 -3.465 -3.058 Pb
-1.898 -1.307 -0.339 Al
1.245 -1.920 0.432 Al
```



# 10
Density functional theory data (PBE) for a geometry-optimized RbAl2PbCl8 structure.

## Properties
The total energy comes out at -44.0 eV/cell.

Cell and atoms, written as POSCAR:
```
RbAl2PbCl8
1.0
6.610 0.000 0.000
3.305 5.725 0.000
3.305 1.908 10.596
Cl Rb Al Pb
8 1 2 1
Cartesian
4.445 4.019 8.359 Cl
5.703 5.793 2.237 Cl
9.916 5.725 5.514 Cl
7.518 1.840 8.359 Cl
5.353 2.043 2.237 Cl
8.776 3.614 2.237 Cl
7.868 5.591 8.359 Cl
3.305 1.908 5.082 Cl
6.610 3.817 5.298 Rb
3.305 1.908 2.925 Al
9.916 5.725 7.671 Al
0.000 0.000 0.000 Pb
```



# 11
Density functional theory data (PBE) for a geometry-optimized RbAlPb2Cl8 structure.

## Properties
The total energy comes out at -43.2 eV/cell.

Cell and atoms, written as POSCAR:
```
RbAlPb2Cl8
1.0
6.600 0.077 -0.002
0.127 6.355 0.007
0.010 0.029 8.808
Cl Rb Pb Al
8 1 2 1
Cartesian
5.659 1.434 1.660 Cl
2.600 1.761 4.412 Cl
4.769 5.050 8.807 Cl
1.077 5.028 7.153 Cl
1.058 4.996 1.677 Cl
4.136 4.701 4.402 Cl
1.967 1.411 0.006 Cl
5.678 1.465 7.136 Cl
0.005 0.015 4.404 Rb
3.370 3.232 6.712 Pb
3.366 3.229 2.102 Pb
0.000 0.000 0.000 Al
```



# 12
Density functional theory data (PBE) for a geometry-optimized RbAlPbCl6 structure.

## Properties
The total energy comes out at -33.0 eV/cell.

Cell and atoms, written as POSCAR:
```
RbAlPbCl6
1.0
7.034 0.000 0.000
3.517 6.091 0.001
0.001 0.000 6.985
Rb Cl Al Pb
1 6 1 1
Cartesian
7.035 0.000 6.985 Rb
1.610 2.075 2.104 Cl
2.525 3.660 4.881 Cl
4.509 3.660 2.104 Cl
2.602 0.357 4.881 Cl
5.425 2.075 4.881 Cl
4.432 0.356 2.104 Cl
3.517 2.030 3.493 Al
7.034 4.061 3.493 Pb
```



no.,DOS(E_F) (states/eV per atom),ΔE_f (raw) (eV per atom)
1,0.33,-0.13
2,0.32,-0.08
3,0.42,0.08
4,0.41,-0.14
5,0.32,0.09
6,0.53,-0.01
7,0.32,-0.02
8,0.38,-1.09
9,1.30,-0.06
10,0.56,-1.42
11,0.00,-1.36
12,0.00,-1.50